ZnIr6Ru2 | PBE | optimized geometry

## Properties
- D(E_F): 20.72 states/eV per cell
- SG: P4_2/mnm
- E_form: 0.14 eV per formula unit
- Volume: 259.8 Å³ per cell
- Spin magnetization: 0.0 μB per cell

a = 8.2178 Å, b = 8.2178 Å, c = 3.8474 Å
α = 90.00°, β = 90.00°, γ = 90.00°
Positions (direct):
Zn 0.0000 0.0000 0.0000
Zn 0.5000 0.5000 0.5000
Ir 0.0008 0.3317 0.0000
Ir 0.1683 0.5008 0.5000
Ir 0.1719 0.1719 0.5000
Ir 0.3281 0.6719 0.0000
Ir 0.3317 0.0008 0.0000
Ir 0.4992 0.8317 0.5000
Ir 0.5008 0.1683 0.5000
Ir 0.6683 0.9992 0.0000
Ir 0.6719 0.3281 0.0000
Ir 0.8281 0.8281 0.5000
Ir 0.8317 0.4992 0.5000
Ir 0.9992 0.6683 0.0000
Ru 0.1738 0.8262 0.5000
Ru 0.3262 0.3262 0.0000
Ru 0.6738 0.6738 0.0000
Ru 0.8262 0.1738 0.5000


ZnIr2Ru | PBE | optimized geometry

## Properties
- D(E_F): 5.58 states/eV per cell
- SG: Cmm2
- E_form: 0.87 eV per formula unit
- Volume: 58.6 Å³ per cell
- Spin magnetization: 0.7 μB per cell

a = 2.7241 Å, b = 2.7241 Å, c = 9.0894 Å
α = 90.00°, β = 90.00°, γ = 119.73°
Positions (direct):
Zn 0.0000 0.0000 0.0000
Ir 0.0000 0.0000 0.4970
Ir 0.5000 0.5000 0.7552
Ru 0.5000 0.5000 0.2471


Q: The highest volume belongs to which entry?
A: ZnIr6Ru2


Q: Which value of E_form does entry 1 give?
A: 0.14 eV per formula unit


Please write out number 2 again, unchanged.
ZnIr2Ru | PBE | optimized geometry

## Properties
- D(E_F): 5.58 states/eV per cell
- SG: Cmm2
- E_form: 0.87 eV per formula unit
- Volume: 58.6 Å³ per cell
- Spin magnetization: 0.7 μB per cell

a = 2.7241 Å, b = 2.7241 Å, c = 9.0894 Å
α = 90.00°, β = 90.00°, γ = 119.73°
Positions (direct):
Zn 0.0000 0.0000 0.0000
Ir 0.0000 0.0000 0.4970
Ir 0.5000 0.5000 0.7552
Ru 0.5000 0.5000 0.2471